ZnIr2Ru | SCAN | single point on PBEsol structure

a = 4.6700 Å, b = 4.6700 Å, c = 4.6700 Å
α = 132.31°, β = 132.31°, γ = 69.74°
Fractional coordinates of all 4 atoms:
Zn 0.0000 0.0000 0.0000
Ir 0.2500 0.7500 0.5000
Ir 0.7500 0.2500 0.5000
Ru 0.5000 0.5000 0.0000

Properties
**VASP energy**: -190.62 eV for the cell shown
**Calculated volume**: 13.7 Å³/atom
**Crystal system**: tetragonal